No. 1
Material: LiI2N2
Method: DFT, PBE
State: relaxed

abc: 4.0359 4.0359 8.1402
angles: 90.00 90.00 90.00
Closest atoms and distances in Å follow each position.
Atoms (fractional coordinates):
I  0.0000  0.0000  0.0000  4 N 2.02
I  0.0000  0.0000  0.5000  4 Li 2.85
Li  0.5000  0.5000  0.5000  4 I 2.85
N  0.0000  0.5000  0.0000  2 I 2.02
N  0.5000  0.0000  0.0000  2 I 2.02

## Properties
- DOS(E_F) (states/eV per cell) = 2.6
- VASP energy (eV per atom) = -3.140
- SG = No. 123
- crystal system = tetragonal
- uncorrected formation energy (eV/atom) = 1.1927
- total moment (μB per atom) = 0.00

No. 2
Material: SeN
Method: DFT, PBE
State: relaxed

abc: 4.4390 3.0375 8.6814
angles: 90.00 99.08 90.00
Closest atoms and distances in Å follow each position.
Atoms (fractional coordinates):
Se  0.7104  0.0000  0.2348  2 Se 2.47-2.49
Se  0.2468  0.0000  0.3640  2 Se 2.47-2.49
N  0.8870  0.5000  0.7461  1 N 1.11
N  0.0660  0.5000  0.8515  1 N 1.11

## Properties
- DOS(E_F) (states/eV per cell) = 0.8
- VASP energy (eV per atom) = -5.792
- SG = No. 6
- crystal system = monoclinic
- uncorrected formation energy (eV/atom) = 0.1130
- total moment (μB per atom) = 0.00

No. 3
Material: YThRu
Method: DFT, PBE
State: relaxed

abc: 4.0857 6.0955 13.1742
angles: 90.00 90.00 90.00
Closest atoms and distances in Å follow each position.
Atoms (fractional coordinates):
Y  0.7500  0.8723  0.5976  3 Ru 2.92-2.99
Y  0.7500  0.3723  0.9024  3 Ru 2.92-2.99
Y  0.2500  0.6277  0.0976  3 Ru 2.92-2.99
Y  0.2500  0.1277  0.4024  3 Ru 2.92-2.99
Th  0.7500  0.6226  0.3454  3 Ru 2.66-2.95
Th  0.7500  0.1226  0.1546  3 Ru 2.66-2.95
Th  0.2500  0.8774  0.8454  3 Ru 2.66-2.95
Th  0.2500  0.3774  0.6546  3 Ru 2.66-2.95
Ru  0.2500  0.6619  0.4731  3 Th 2.66-2.95, 2 Y 2.92, 2 Ru 2.93
Ru  0.7500  0.3381  0.5269  3 Th 2.66-2.95, 2 Y 2.92, 2 Ru 2.93
Ru  0.7500  0.8381  0.9731  3 Th 2.66-2.95, 2 Y 2.92, 2 Ru 2.93
Ru  0.2500  0.1619  0.0269  3 Th 2.66-2.95, 2 Y 2.92, 2 Ru 2.93

## Properties
- DOS(E_F) (states/eV per cell) = 13.1
- VASP energy (eV per atom) = -8.033
- SG = No. 62
- crystal system = orthorhombic
- total moment (μB per atom) = 0.00

No. 4
Material: LaNi2W
Method: DFT, PBE
State: relaxed

abc: 4.7695 4.7738 2.9383
angles: 90.00 90.00 90.00
Closest atoms and distances in Å follow each position.
Atoms (fractional coordinates):
La  0.0000  0.5000  0.5000  8 Ni 2.80, 2 La 2.94
Ni  0.0000  0.0000  0.0000  4 W 2.80, 4 La 2.80, 2 Ni 2.94
Ni  0.5000  0.5000  0.0000  4 La 2.80, 4 W 2.80, 2 Ni 2.94
W  0.5000  0.0000  0.5000  8 Ni 2.80, 2 W 2.94

## Properties
- DOS(E_F) (states/eV per cell) = 6.1
- VASP energy (eV per atom) = -7.020
- SG = No. 123
- crystal system = tetragonal
- total moment (μB per atom) = 0.23

No. 5
Material: SrTaAg
Method: DFT, PBE
State: relaxed

abc: 5.2762 4.8948 6.5326
angles: 112.02 90.00 90.00
Closest atoms and distances in Å follow each position.
Atoms (fractional coordinates):
Sr  0.0075  0.4087  0.7589  3 Ag 3.19-3.35
Sr  0.5075  0.8333  0.6085  3 Ag 3.19-3.35
Ag  0.0075  0.6851  0.3115  4 Ta 2.89, 2 Ag 3.06, 2 Sr 3.19
Ag  0.5075  0.5571  0.0559  4 Ta 2.89, 2 Ag 3.06, 2 Sr 3.19
Ta  0.7576  0.1211  0.1837  2 Ta 2.64, 4 Ag 2.89
Ta  0.2576  0.1211  0.1837  2 Ta 2.64, 4 Ag 2.89

## Properties
- DOS(E_F) (states/eV per cell) = 6.4
- VASP energy (eV per atom) = -5.101
- SG = No. 63
- crystal system = orthorhombic
- total moment (μB per atom) = 0.00

No. 6
Material: Hf2Zn2Re
Method: DFT, PBE
State: relaxed

abc: 6.8705 6.8705 3.6309
angles: 90.00 90.00 90.00
Closest atoms and distances in Å follow each position.
Atoms (fractional coordinates):
Re  0.0000  0.0000  0.0000  4 Zn 2.72
Re  0.5000  0.5000  0.0000  4 Zn 2.72
Zn  0.3771  0.8771  0.0000  1 Zn 2.39, 2 Hf 2.62
Zn  0.8771  0.6229  0.0000  1 Zn 2.39, 2 Hf 2.62
Zn  0.6229  0.1229  0.0000  1 Zn 2.39, 2 Hf 2.62
Zn  0.1229  0.3771  0.0000  1 Zn 2.39, 2 Hf 2.62
Hf  0.1832  0.6832  0.5000  6 Zn 2.62-2.81
Hf  0.6832  0.8168  0.5000  6 Zn 2.62-2.81
Hf  0.8168  0.3168  0.5000  6 Zn 2.62-2.81
Hf  0.3168  0.1832  0.5000  6 Zn 2.62-2.81

## Properties
- DOS(E_F) (states/eV per cell) = 10.3
- VASP energy (eV per atom) = -7.048
- SG = No. 127
- crystal system = tetragonal
- total moment (μB per atom) = 0.00

No. 7
Material: Al2GaHgS6
Method: DFT, PBE
State: relaxed

abc: 6.8569 8.9609 8.9609
angles: 90.23 71.21 71.21
Closest atoms and distances in Å follow each position.
Atoms (fractional coordinates):
Al  0.3322  0.7708  0.6053  4 S 2.24-2.30
Al  0.1678  0.3947  0.2292  4 S 2.24-2.30
Al  0.6678  0.2292  0.3947  4 S 2.24-2.30
Al  0.8322  0.6053  0.7708  4 S 2.24-2.30
Ga  0.2500  0.1675  0.8325  4 S 2.30-2.33
Ga  0.7500  0.8325  0.1675  4 S 2.30-2.33
Hg  0.2500  0.7966  0.2034  2 S 2.50
Hg  0.7500  0.2034  0.7966  2 S 2.50
S  0.1264  0.9616  0.8097  1 Al 2.24, 1 Ga 2.30
S  0.3736  0.1903  0.0384  1 Al 2.24, 1 Ga 2.30
S  0.8736  0.0384  0.1903  1 Al 2.24, 1 Ga 2.30
S  0.6264  0.8097  0.9616  1 Al 2.24, 1 Ga 2.30
S  0.4190  0.8895  0.3775  1 Al 2.30, 1 Ga 2.33, 1 Hg 2.50
S  0.0810  0.6225  0.1105  1 Al 2.30, 1 Ga 2.33, 1 Hg 2.50
S  0.5810  0.1105  0.6225  1 Al 2.30, 1 Ga 2.33, 1 Hg 2.50
S  0.9190  0.3775  0.8895  1 Al 2.30, 1 Ga 2.33, 1 Hg 2.50
S  0.0841  0.6658  0.5689  2 Al 2.27-2.30
S  0.4159  0.4311  0.3342  2 Al 2.27-2.30
S  0.9159  0.3342  0.4311  2 Al 2.27-2.30
S  0.5841  0.5689  0.6658  2 Al 2.27-2.30

## Properties
- DOS(E_F) (states/eV per cell) = 0.1
- VASP energy (eV per atom) = -4.131
- SG = No. 15
- crystal system = monoclinic
- uncorrected formation energy (eV/atom) = -0.5728
- total moment (μB per atom) = 0.10

No. 8
Material: GdThN
Method: DFT, PBE
State: relaxed

abc: 4.4025 4.4025 4.4025
angles: 60.00 60.00 60.00
Closest atoms and distances in Å follow each position.
Atoms (fractional coordinates):
Gd  0.0000  0.0000  0.0000  4 N 2.70
Th  0.5000  0.5000  0.5000  4 N 2.70
N  0.2500  0.2500  0.2500  4 Gd 2.70, 4 Th 2.70

## Properties
- DOS(E_F) (states/eV per cell) = 2.6
- VASP energy (eV per atom) = -10.123
- SG = No. 216
- crystal system = cubic
- uncorrected formation energy (eV/atom) = -0.1812
- total moment (μB per atom) = 2.54

No. 9
Material: PaS2Br4
Method: DFT, PBE
State: relaxed

abc: 4.0374 7.9116 9.5770
angles: 99.57 102.22 86.68
Closest atoms and distances in Å follow each position.
Atoms (fractional coordinates):
Pa  0.0000  0.0000  0.0000  6 Br 2.68-2.87
S  0.2089  0.4356  0.4876  1 S 1.96
S  0.7911  0.5644  0.5124  1 S 1.96
Br  0.1398  0.8756  0.2499  1 Pa 2.68
Br  0.8602  0.1244  0.7501  1 Pa 2.68
Br  0.4723  0.7560  0.8896  2 Pa 2.87
Br  0.5277  0.2440  0.1104  2 Pa 2.87

## Properties
- DOS(E_F) (states/eV per cell) = 5.4
- VASP energy (eV per atom) = -4.374
- SG = No. 2
- crystal system = triclinic
- uncorrected formation energy (eV/atom) = -0.8819
- total moment (μB per atom) = 0.13

No. 10
Material: LiGe7Rh3
Method: DFT, PBE
State: relaxed

abc: 7.8864 7.8864 8.2775
angles: 61.55 61.55 60.00
Closest atoms and distances in Å follow each position.
Atoms (fractional coordinates):
Li  0.5000  0.5000  0.5000  6 Rh 3.19, 12 Ge 3.24-3.26
Li  0.0000  0.0000  0.0000  6 Rh 3.19, 12 Ge 3.24-3.26
Ge  0.6685  0.0751  0.4068  3 Rh 2.54-2.62, 3 Ge 2.74-2.78
Ge  0.0751  0.8496  0.4068  3 Rh 2.54-2.62, 3 Ge 2.74-2.78
Ge  0.8496  0.6685  0.4068  3 Rh 2.54-2.62, 3 Ge 2.74-2.78
Ge  0.8315  0.6504  0.0932  3 Rh 2.54-2.62, 3 Ge 2.74-2.78
Ge  0.4249  0.8315  0.0932  3 Rh 2.54-2.62, 3 Ge 2.74-2.78
Ge  0.6504  0.4249  0.0932  3 Rh 2.54-2.62, 3 Ge 2.74-2.78
Ge  0.3315  0.9249  0.5932  3 Rh 2.54-2.62, 3 Ge 2.74-2.78
Ge  0.9249  0.1504  0.5932  3 Rh 2.54-2.62, 3 Ge 2.74-2.78
Ge  0.1504  0.3315  0.5932  3 Rh 2.54-2.62, 3 Ge 2.74-2.78
Ge  0.1685  0.3496  0.9068  3 Rh 2.54-2.62, 3 Ge 2.74-2.78
Ge  0.5751  0.1685  0.9068  3 Rh 2.54-2.62, 3 Ge 2.74-2.78
Ge  0.3496  0.5751  0.9068  3 Rh 2.54-2.62, 3 Ge 2.74-2.78
Ge  0.7500  0.7500  0.7500  3 Rh 2.52
Ge  0.2500  0.2500  0.2500  3 Rh 2.52
Rh  0.4303  0.0697  0.7500  7 Ge 2.52-2.62
Rh  0.0697  0.7500  0.7500  7 Ge 2.52-2.62
Rh  0.7500  0.4303  0.7500  7 Ge 2.52-2.62
Rh  0.5697  0.9303  0.2500  7 Ge 2.52-2.62
Rh  0.9303  0.2500  0.2500  7 Ge 2.52-2.62
Rh  0.2500  0.5697  0.2500  7 Ge 2.52-2.62

## Properties
- DOS(E_F) (states/eV per cell) = 9.7
- VASP energy (eV per atom) = -5.445
- SG = No. 167
- crystal system = trigonal
- total moment (μB per atom) = 0.00

No. 11
Material: TmPuHf
Method: DFT, PBE
State: relaxed

abc: 3.2930 3.2930 7.4961
angles: 102.69 102.69 90.00
Closest atoms and distances in Å follow each position.
Atoms (fractional coordinates):
Tm  0.0054  0.0054  0.0107  4 Tm 3.29, 4 Hf 3.31, 4 Pu 3.47
Hf  0.6701  0.6701  0.3401  4 Pu 3.20, 4 Hf 3.29, 4 Tm 3.31
Pu  0.3246  0.3246  0.6491  4 Hf 3.20, 4 Pu 3.29, 4 Tm 3.47

## Properties
- DOS(E_F) (states/eV per cell) = 6.8
- VASP energy (eV per atom) = -9.441
- SG = No. 107
- crystal system = tetragonal
- total moment (μB per atom) = 1.93

No. 12
Material: IrBr
Method: DFT, PBE
State: relaxed

abc: 2.9189 2.9189 4.9371
angles: 90.00 90.00 120.00
Closest atoms and distances in Å follow each position.
Atoms (fractional coordinates):
Ir  0.0000  0.0000  0.5000  2 Br 2.47
Br  0.0000  0.0000  0.0000  2 Ir 2.47

## Properties
- DOS(E_F) (states/eV per cell) = 2.4
- VASP energy (eV per atom) = -4.381
- SG = No. 191
- crystal system = hexagonal
- uncorrected formation energy (eV/atom) = 0.8856
- total moment (μB per atom) = 0.00

No. 13
Material: CeSn3Au2
Method: DFT, PBE
State: relaxed

abc: 4.8671 8.7334 9.0639
angles: 56.53 74.43 73.82
Closest atoms and distances in Å follow each position.
Atoms (fractional coordinates):
Ce  0.8646  0.1571  0.1137  6 Au 3.21-3.60, 8 Sn 3.31-3.59
Ce  0.1354  0.8429  0.8863  6 Au 3.21-3.60, 8 Sn 3.31-3.59
Sn  0.3472  0.4706  0.8349  4 Au 2.81-2.85
Sn  0.9921  0.3404  0.6754  1 Sn 2.85, 2 Au 2.86
Sn  0.6938  0.0716  0.5409  2 Au 2.77-3.01, 2 Sn 2.96
Sn  0.3062  0.9284  0.4591  2 Au 2.77-3.01, 2 Sn 2.96
Sn  0.0079  0.6596  0.3246  1 Sn 2.85, 2 Au 2.86
Sn  0.6528  0.5294  0.1651  4 Au 2.81-2.85
Au  0.5207  0.1388  0.8198  4 Sn 2.77-2.86, 1 Au 2.79
Au  0.4793  0.8612  0.1802  4 Sn 2.77-2.86, 1 Au 2.79
Au  0.7751  0.6573  0.7925  4 Sn 2.81-3.01
Au  0.2249  0.3427  0.2075  4 Sn 2.81-3.01

## Properties
- DOS(E_F) (states/eV per cell) = 14.4
- VASP energy (eV per atom) = -4.465
- SG = No. 12
- crystal system = monoclinic
- total moment (μB per atom) = 0.15

No. 14
Material: SiH2Pd2
Method: DFT, PBE
State: relaxed

abc: 2.9948 2.9948 6.0465
angles: 75.66 75.66 90.00
Closest atoms and distances in Å follow each position.
Atoms (fractional coordinates):
H  0.7500  0.2500  0.5000  4 Pd 1.92, 4 H 2.12
H  0.2500  0.7500  0.5000  4 Pd 1.92, 4 H 2.12
Si  0.0000  0.0000  0.0000  8 Pd 2.68, 4 Si 2.99
Pd  0.3556  0.3556  0.2888  4 H 1.92
Pd  0.6444  0.6444  0.7112  4 H 1.92

## Properties
- DOS(E_F) (states/eV per cell) = 1.4
- VASP energy (eV per atom) = -4.555
- SG = No. 139
- crystal system = tetragonal
- total moment (μB per atom) = 0.00

No. 15
Material: Na3SbF
Method: DFT, PBE
State: relaxed

abc: 4.7581 4.7581 4.7581
angles: 90.00 90.00 90.00
Closest atoms and distances in Å follow each position.
Atoms (fractional coordinates):
Sb  0.5000  0.5000  0.5000  12 Na 3.36
F  0.0000  0.0000  0.0000  6 Na 2.38
Na  0.0000  0.5000  0.0000  2 F 2.38
Na  0.0000  0.0000  0.5000  2 F 2.38
Na  0.5000  0.0000  0.0000  2 F 2.38

## Properties
- DOS(E_F) (states/eV per cell) = 3.2
- VASP energy (eV per atom) = -3.230
- SG = No. 221
- crystal system = cubic
- uncorrected formation energy (eV/atom) = -1.2403
- total moment (μB per atom) = 0.00

No. 16
Material: Sc4InAg
Method: DFT, PBE
State: relaxed

abc: 4.7361 4.7368 6.9376
angles: 89.98 89.99 90.00
Closest atoms and distances in Å follow each position.
Atoms (fractional coordinates):
Sc  0.5012  0.9970  0.2607  2 Ag 2.88, 2 In 2.99
Sc  0.5014  0.9975  0.7356  2 Ag 2.88-2.89, 2 In 2.99
Sc  0.0014  0.4974  0.7356  2 Ag 2.88-2.89, 2 In 2.99
Sc  0.0012  0.4971  0.2608  2 Ag 2.88-2.89, 2 In 2.99
In  0.5013  0.4973  0.9981  8 Sc 2.99
Ag  0.0013  0.9973  0.4981  8 Sc 2.88-2.89

## Properties
- DOS(E_F) (states/eV per cell) = 7.0
- VASP energy (eV per atom) = -5.118
- SG = No. 123
- crystal system = tetragonal
- total moment (μB per atom) = 0.00

No. 17
Material: Be2CdMo
Method: DFT, PBE
State: relaxed

abc: 2.6989 2.9651 6.5713
angles: 90.00 90.00 90.00
Closest atoms and distances in Å follow each position.
Atoms (fractional coordinates):
Be  0.0000  0.0000  0.0406  4 Be 2.23
Be  0.5000  0.5000  0.1887  4 Be 2.23
Mo  0.5000  0.5000  0.8068  5 Be 2.51-2.53, 2 Mo 2.70
Cd  0.0000  0.0000  0.4638  4 Cd 2.70-2.97, 5 Be 2.70-2.78, 4 Mo 3.02

## Properties
- DOS(E_F) (states/eV per cell) = 1.0
- VASP energy (eV per atom) = -4.529
- SG = No. 25
- crystal system = orthorhombic
- total moment (μB per atom) = 0.00

No. 18
Material: SrGaF2
Method: DFT, PBE
State: relaxed

abc: 4.6625 4.6625 4.6625
angles: 60.00 60.00 60.00
Closest atoms and distances in Å follow each position.
Atoms (fractional coordinates):
Sr  0.5000  0.5000  0.5000  8 F 2.86
Ga  0.0000  0.0000  0.0000  8 F 2.86
F  0.2500  0.2500  0.2500  4 Sr 2.86, 4 Ga 2.86
F  0.7500  0.7500  0.7500  4 Sr 2.86, 4 Ga 2.86

## Properties
- DOS(E_F) (states/eV per cell) = 3.4
- VASP energy (eV per atom) = -4.141
- SG = No. 225
- crystal system = cubic
- uncorrected formation energy (eV/atom) = -2.0280
- total moment (μB per atom) = 0.00

No. 19
Material: BeAg3Ge
Method: DFT, PBE
State: relaxed

abc: 4.8706 4.8706 4.8706
angles: 90.00 90.00 90.00
Closest atoms and distances in Å follow each position.
Atoms (fractional coordinates):
Be  0.5000  0.5000  0.5000  12 Ag 3.44
Ge  0.0000  0.0000  0.0000  6 Ag 2.44
Ag  0.0000  0.5000  0.0000  2 Ge 2.44
Ag  0.0000  0.0000  0.5000  2 Ge 2.44
Ag  0.5000  0.0000  0.0000  2 Ge 2.44

## Properties
- DOS(E_F) (states/eV per cell) = 2.4
- VASP energy (eV per atom) = -2.461
- SG = No. 221
- crystal system = cubic
- total moment (μB per atom) = 0.00

No. 20
Material: Tm3CuTe6
Method: DFT, PBE
State: relaxed

abc: 7.3929 9.1133 9.1133
angles: 96.67 90.00 90.00
Closest atoms and distances in Å follow each position.
Atoms (fractional coordinates):
Tm  0.4810  0.9248  0.7297  7 Te 3.04-3.18
Tm  0.9810  0.7297  0.9248  7 Te 3.04-3.18
Tm  0.3857  0.3953  0.6047  7 Te 3.07-3.15
Tm  0.8857  0.6047  0.3953  7 Te 3.07-3.15
Tm  0.9810  0.0752  0.2703  7 Te 3.04-3.18
Tm  0.4810  0.2703  0.0752  7 Te 3.04-3.18
Cu  0.0258  0.2193  0.7807  4 Te 2.56-2.65
Cu  0.5258  0.7807  0.2193  4 Te 2.56-2.65
Te  0.1850  0.7014  0.6265  4 Tm 3.06-3.15
Te  0.6850  0.6265  0.7014  4 Tm 3.06-3.15
Te  0.1968  0.4437  0.9061  1 Cu 2.56
Te  0.6968  0.9061  0.4437  1 Cu 2.56
Te  0.1758  0.0429  0.9571  1 Cu 2.65
Te  0.6725  0.2242  0.7758  1 Cu 2.61
Te  0.1725  0.7758  0.2242  1 Cu 2.61
Te  0.6758  0.9571  0.0429  1 Cu 2.65
Te  0.1968  0.0939  0.5563  1 Cu 2.56
Te  0.6968  0.5563  0.0939  1 Cu 2.56
Te  0.1850  0.3735  0.2986  4 Tm 3.06-3.15
Te  0.6850  0.2986  0.3735  4 Tm 3.06-3.15

## Properties
- DOS(E_F) (states/eV per cell) = 8.3
- VASP energy (eV per atom) = -4.567
- SG = No. 36
- crystal system = orthorhombic
- uncorrected formation energy (eV/atom) = -0.9305
- total moment (μB per atom) = 0.00